No. 1
A relaxed MgZr2Sc crystal, computed with PBEsol.

Lattice parameters (Å, degrees): 4.368 4.368 9.177 90.00 90.00 90.00
Fractional coordinates of all 8 atoms:
Mg 0.000 0.000 0.000
Mg 0.500 0.500 0.500
Zr 0.000 0.500 0.250
Zr 0.000 0.500 0.750
Zr 0.500 0.000 0.250
Zr 0.500 0.000 0.750
Sc 0.000 0.000 0.500
Sc 0.500 0.500 0.000

Spin magnetization, μB/cell: 0.00
VASP energy, eV for the cell shown: -52.57
ΔH_f (0 K), meV per atom: 54

No. 2
A relaxed Mg2ZrSc crystal, computed with PBEsol.

Lattice parameters (Å, degrees): 3.204 3.204 8.773 90.00 90.00 90.00
Fractional coordinates of all 4 atoms:
Mg 0.000 0.000 0.000
Mg 0.500 0.500 0.245
Zr 0.500 0.500 0.745
Sc 0.000 0.000 0.506

Spin magnetization, μB/cell: 0.00
VASP energy, eV for the cell shown: -19.36
ΔH_f (0 K), meV per atom: -57

No. 3
A relaxed MgZr2Sc crystal, computed with PBEsol.

Lattice parameters (Å, degrees): 6.087 10.795 2.971 90.00 114.77 90.00
Fractional coordinates of all 8 atoms:
Mg 0.000 0.000 0.000
Mg 0.500 0.500 0.000
Zr 0.250 0.250 0.500
Zr 0.250 0.750 0.500
Zr 0.750 0.250 0.500
Zr 0.750 0.750 0.500
Sc 0.000 0.500 0.000
Sc 0.500 0.000 0.000

Spin magnetization, μB/cell: 0.00
VASP energy, eV for the cell shown: -52.13
ΔH_f (0 K), meV per atom: 109

No. 4
A relaxed MgZr2Sc crystal, computed with PBEsol.

Lattice parameters (Å, degrees): 5.164 5.164 3.283 90.00 90.00 90.00
Fractional coordinates of all 4 atoms:
Mg 0.000 0.000 0.000
Zr 0.000 0.500 0.500
Zr 0.500 0.000 0.500
Sc 0.500 0.500 0.000

Spin magnetization, μB/cell: 0.00
VASP energy, eV for the cell shown: -25.94
ΔH_f (0 K), meV per atom: 139